A relaxed AcYIr crystal. Source: OQMD via LeMat-Bulk, functional PBE-GGA.

Properties
Polymorph energy (0 for the lowest one) = 0.68 eV per formula unit
Calculated density = 9.92 g/cm³
Total energy = -6.01 eV/atom
Calculated formation energy = 0.465 eV/atom

Cell lengths 4.9358, 4.9358, 4.9358 Å; angles 60.00, 60.00, 60.00 degrees
Closest atoms and distances in Å follow each position.
Fractional coordinates of all 3 atoms:
Ac 0.0000 0.0000 0.0000  4 Ir 3.02, 4 Y 3.02
Y 0.2500 0.2500 0.2500  4 Ac 3.02
Ir 0.7500 0.7500 0.7500  4 Ac 3.02